This record from the Alexandria database describes a relaxed structure of CaLuAlAg. The functional is PBE.

## Properties
- ρ (Mg/m³) = 6.08
- calculated formation energy (eV per atom) = -0.272
- D(E_F) (states/eV/cell) = 3.36
- uncorrected energy (eV per atom) = -3.5507
- total magnetic moment (μB/atom) = 0.00

The structure in POSCAR format:
```
CaLuAlAg
1.0
0.0000 3.6291 3.6291
3.6291 0.0000 3.6291
3.6291 3.6291 0.0000
Ca Lu Al Ag
1 1 1 1
Cartesian
0.0000 0.0000 0.0000
3.6291 3.6291 3.6291
5.4436 5.4436 5.4436
1.8145 1.8145 1.8145
```